A) Computed, not measured: a relaxed structure of EuY2Rh at the GGA-PBE level of DFT.

Cell: 3.9773 3.9773 28.4020 Å, 90.00 90.00 120.00°
Space group R-3m (No. 166, hexagonal axes)
Asymmetric unit:
Eu 0.0000 0.0000 0.0000 [3 per cell]
Y 0.0000 0.0000 0.2204 [6 per cell]
Rh 0.0000 0.0000 0.5000 [3 per cell]

Total magnetic moment: 23.65 μB/cell
Mass density: 5.5 g/cm3

---

B) Computed, not measured: a relaxed structure of EuY2Rh at the GGA-PBE level of DFT.

Cell: 3.5239 3.5239 9.2232 Å, 90.00 90.00 90.00°
Space group P4/mmm (No. 123)
Asymmetric unit:
Eu 0.0000 0.0000 0.0000 [1 per cell]
Y 0.5000 0.5000 0.3244 [2 per cell]
Rh 0.0000 0.0000 0.5000 [1 per cell]

Total magnetic moment: 7.62 μB/cell
Mass density: 6.3 g/cm3

---

It is A) that is the least stable of them.

---

A) Computed, not measured: a relaxed structure of EuYRh at the GGA-PBE level of DFT.

Cell: 3.4960 3.4960 13.2032 Å, 90.00 90.00 90.00°
Space group I4mm (No. 107)
Asymmetric unit:
Eu 0.0000 0.0000 0.0000 [2 per cell]
Y 0.0000 0.0000 0.2585 [2 per cell]
Rh 0.0000 0.0000 0.6462 [2 per cell]

Total magnetic moment: 14.20 μB/cell
Mass density: 7.1 g/cm3

---

B) Computed, not measured: a relaxed structure of EuYRh at the GGA-PBE level of DFT.

Cell: 6.9155 6.9155 6.9155 Å, 90.00 90.00 90.00°
Space group F-43m (No. 216)
Asymmetric unit:
Eu 0.0000 0.0000 0.0000 [4 per cell]
Y 0.0000 0.0000 0.5000 [4 per cell]
Rh 0.2500 0.2500 0.2500 [4 per cell]

Total magnetic moment: 28.10 μB/cell
Mass density: 6.9 g/cm3

---

It is B) that is the least stable of them.

---

A) Computed, not measured: a relaxed structure of SmEuRu at the GGA-PBE level of DFT.

Cell: 6.9068 6.9068 6.9068 Å, 90.00 90.00 90.00°
Space group F-43m (No. 216)
Asymmetric unit:
Sm 0.0000 0.0000 0.0000 [4 per cell]
Eu 0.0000 0.0000 0.5000 [4 per cell]
Ru 0.2500 0.2500 0.7500 [4 per cell]

Total magnetic moment: 27.89 μB/cell
Mass density: 8.1 g/cm3

---

B) Computed, not measured: a relaxed structure of SmEuRu at the GGA-PBE level of DFT.

Cell: 3.5079 3.5079 13.2360 Å, 90.00 90.00 90.00°
Space group I4mm (No. 107)
Asymmetric unit:
Sm 0.0000 0.0000 0.0000 [2 per cell]
Eu 0.0000 0.0000 0.7453 [2 per cell]
Ru 0.0000 0.0000 0.3840 [2 per cell]

Total magnetic moment: 14.15 μB/cell
Mass density: 8.2 g/cm3

---

It is A) that is the least stable of them.

---

A) Computed, not measured: a relaxed structure of Tb2EuRu at the GGA-PBE level of DFT.

Cell: 7.3310 7.3310 7.3310 Å, 90.00 90.00 90.00°
Space group Fm-3m (No. 225)
Asymmetric unit:
Tb 0.2500 0.2500 0.2500 [8 per cell]
Eu 0.0000 0.0000 0.0000 [4 per cell]
Ru 0.0000 0.0000 0.5000 [4 per cell]

Total magnetic moment: 29.32 μB/cell
Mass density: 9.6 g/cm3

---

B) Computed, not measured: a relaxed structure of Tb2EuRu at the GGA-PBE level of DFT.

Cell: 3.4535 3.4535 9.5400 Å, 90.00 90.00 90.00°
Space group P4/mmm (No. 123)
Asymmetric unit:
Tb 0.0000 0.0000 0.1727 [2 per cell]
Eu 0.5000 0.5000 0.5000 [1 per cell]
Ru 0.5000 0.5000 0.0000 [1 per cell]

Total magnetic moment: 7.50 μB/cell
Mass density: 8.3 g/cm3

---

It is A) that is the least stable of them.

---

A) Computed, not measured: a relaxed structure of EuURu2 at the GGA-PBE level of DFT.

Cell: 3.3586 3.3586 7.3413 Å, 90.00 90.00 90.00°
Space group P4/mmm (No. 123)
Asymmetric unit:
Eu 0.0000 0.0000 0.0000 [1 per cell]
U 0.0000 0.0000 0.5000 [1 per cell]
Ru 0.5000 0.5000 0.3065 [2 per cell]

Total magnetic moment: 7.24 μB/cell
Mass density: 11.9 g/cm3

---

B) Computed, not measured: a relaxed structure of EuURu2 at the GGA-PBE level of DFT.

Cell: 3.4266 3.4266 25.2099 Å, 90.00 90.00 120.00°
Space group R-3m (No. 166, hexagonal axes)
Asymmetric unit:
Eu 0.0000 0.0000 0.0000 [3 per cell]
U 0.0000 0.0000 0.5000 [3 per cell]
Ru 0.0000 0.0000 0.2338 [6 per cell]

Total magnetic moment: 22.15 μB/cell
Mass density: 11.5 g/cm3

---

It is B) that is the least stable of them.

---

A) Computed, not measured: a relaxed structure of EuY2Ru at the GGA-PBE level of DFT.

Cell: 3.9827 3.9827 28.2733 Å, 90.00 90.00 120.00°
Space group R-3m (No. 166, hexagonal axes)
Asymmetric unit:
Eu 0.0000 0.0000 0.0000 [3 per cell]
Y 0.0000 0.0000 0.2194 [6 per cell]
Ru 0.0000 0.0000 0.5000 [3 per cell]

Total magnetic moment: 22.50 μB/cell
Mass density: 5.5 g/cm3

---

B) Computed, not measured: a relaxed structure of EuY2Ru at the GGA-PBE level of DFT.

Cell: 3.4583 3.4583 9.4950 Å, 90.00 90.00 90.00°
Space group P4/mmm (No. 123)
Asymmetric unit:
Eu 0.0000 0.0000 0.0000 [1 per cell]
Y 0.5000 0.5000 0.3269 [2 per cell]
Ru 0.0000 0.0000 0.5000 [1 per cell]

Total magnetic moment: 7.53 μB/cell
Mass density: 6.3 g/cm3

---

It is A) that is the least stable of them.